Record 1
The following is a DFT calculation (GGA-PBE) of an optimized crystal structure of PaTiO2.

Computed properties:
space-group type = No. 166
DFT total energy = -9.100 eV/atom
formation energy (no corrections) = -2.2727 eV/atom

Cell lengths 6.412, 6.412, 6.412 Å; angles 30.02, 30.02, 30.02 degrees
Fractional positions:
Pa1 0.000 0.000 0.000
Ti1 0.500 0.500 0.500
O1 0.120 0.120 0.120
O2 0.880 0.880 0.880

Record 2
The following is a DFT calculation (GGA-PBE) of an optimized crystal structure of Pa4Ti6O19.

Computed properties:
space-group type = No. 197
DFT total energy = -9.316 eV/atom
formation energy (no corrections) = -3.1244 eV/atom

Cell lengths 7.457, 7.457, 7.457 Å; angles 109.47, 109.47, 109.47 degrees
Fractional positions:
Pa1 0.000 0.000 0.326
Pa2 0.000 0.326 0.000
Pa3 0.326 0.000 0.000
Pa4 0.674 0.674 0.674
Ti1 0.157 0.500 0.657
Ti2 0.343 0.843 0.500
Ti3 0.500 0.343 0.843
Ti4 0.500 0.657 0.157
Ti5 0.657 0.157 0.500
Ti6 0.843 0.500 0.343
O1 0.000 0.000 0.000
O2 0.000 0.323 0.323
O3 0.000 0.677 0.677
O4 0.023 0.654 0.248
O5 0.225 0.631 0.977
O6 0.248 0.023 0.654
O7 0.323 0.000 0.323
O8 0.323 0.323 0.000
O9 0.346 0.369 0.594
O10 0.369 0.594 0.346
O11 0.406 0.775 0.752
O12 0.594 0.346 0.369
O13 0.631 0.977 0.225
O14 0.654 0.248 0.023
O15 0.677 0.000 0.677
O16 0.677 0.677 0.000
O17 0.752 0.406 0.775
O18 0.775 0.752 0.406
O19 0.977 0.225 0.631

Record 3
The following is a DFT calculation (GGA-PBE) of an optimized crystal structure of PaTi2TlO7.

Computed properties:
space-group type = No. 123
DFT total energy = -8.404 eV/atom
formation energy (no corrections) = -2.7350 eV/atom

Cell lengths 3.733, 3.733, 11.161 Å; angles 90.00, 90.00, 90.00 degrees
Fractional positions:
Pa1 0.000 0.000 0.000
Ti1 0.500 0.500 0.203
Ti2 0.500 0.500 0.797
Tl1 0.000 0.000 0.500
O1 0.000 0.500 0.145
O2 0.000 0.500 0.855
O3 0.500 0.000 0.145
O4 0.500 0.000 0.855
O5 0.500 0.500 0.000
O6 0.500 0.500 0.357
O7 0.500 0.500 0.643

Record 4
The following is a DFT calculation (GGA-PBE) of an optimized crystal structure of PaTiTlO5.

Computed properties:
space-group type = No. 15
DFT total energy = -8.435 eV/atom
formation energy (no corrections) = -2.8662 eV/atom

Cell lengths 6.330, 6.330, 8.204 Å; angles 105.49, 105.49, 105.06 degrees
Fractional positions:
Pa1 0.000 0.000 0.000
Pa2 0.000 0.000 0.500
Ti1 0.313 0.687 0.750
Ti2 0.687 0.313 0.250
Tl1 0.331 0.669 0.250
Tl2 0.669 0.331 0.750
O1 0.061 0.939 0.250
O2 0.125 0.718 0.888
O3 0.224 0.378 0.609
O4 0.282 0.875 0.612
O5 0.378 0.224 0.109
O6 0.622 0.776 0.891
O7 0.718 0.125 0.388
O8 0.776 0.622 0.391
O9 0.875 0.282 0.112
O10 0.939 0.061 0.750

Record 5
The following is a DFT calculation (GGA-PBE) of an optimized crystal structure of PaTiTlO6.

Computed properties:
space-group type = No. 149
DFT total energy = -7.991 eV/atom
formation energy (no corrections) = -2.4903 eV/atom

Cell lengths 5.384, 5.384, 4.851 Å; angles 90.00, 90.00, 120.00 degrees
Fractional positions:
Pa1 0.000 0.000 0.000
Ti1 0.333 0.667 0.500
Tl1 0.667 0.333 0.500
O1 0.040 0.353 0.263
O2 0.040 0.687 0.737
O3 0.313 0.353 0.737
O4 0.313 0.960 0.263
O5 0.647 0.687 0.263
O6 0.647 0.960 0.737

Record 6
The following is a DFT calculation (GGA-PBE) of an optimized crystal structure of TmPaTi2O8.

Computed properties:
space-group type = No. 119
DFT total energy = -9.122 eV/atom
formation energy (no corrections) = -3.3372 eV/atom

Cell lengths 5.996, 5.996, 5.996 Å; angles 107.41, 107.41, 113.67 degrees
Fractional positions:
Tm1 0.000 0.000 0.000
Pa1 0.250 0.750 0.500
Ti1 0.500 0.500 0.000
Ti2 0.750 0.250 0.500
O1 0.315 0.124 0.808
O2 0.315 0.507 0.192
O3 0.372 0.058 0.314
O4 0.493 0.685 0.808
O5 0.744 0.058 0.686
O6 0.876 0.685 0.192
O7 0.942 0.256 0.314
O8 0.942 0.628 0.686

Record 7
The following is a DFT calculation (GGA-PBE) of an optimized crystal structure of UPaTi2O8.

Computed properties:
space-group type = No. 82
DFT total energy = -9.538 eV/atom
formation energy (no corrections) = -3.1850 eV/atom

Cell lengths 6.657, 6.657, 6.657 Å; angles 133.95, 133.95, 67.16 degrees
Fractional positions:
U1 0.000 0.000 0.000
Pa1 0.750 0.250 0.500
Ti1 0.250 0.750 0.500
Ti2 0.500 0.500 0.000
O1 0.075 0.657 0.064
O2 0.155 0.241 0.569
O3 0.343 0.407 0.418
O4 0.413 0.845 0.086
O5 0.593 0.011 0.936
O6 0.673 0.587 0.431
O7 0.759 0.327 0.914
O8 0.989 0.925 0.582